A plane-wave DFT calculation with PBE-GGA was carried out for crystalline SrSi3Se at its relaxed geometry.

Results
**Crystal system**: cubic

```
data_SrSi3Se
_space_group_name_H-M_alt 'P 1'
_space_group_IT_number 1
_cell_length_a 5.613
_cell_length_b 5.613
_cell_length_c 5.613
_cell_angle_alpha 90.00
_cell_angle_beta 90.00
_cell_angle_gamma 90.00
loop_
_space_group_symop_operation_xyz
'x,y,z'
loop_
_atom_site_label
_atom_site_type_symbol
_atom_site_fract_x
_atom_site_fract_y
_atom_site_fract_z
Sr1 Sr 0.000 0.000 0.000
Si1 Si 0.000 0.500 0.000
Si2 Si 0.000 0.000 0.500
Si3 Si 0.500 0.000 0.000
Se1 Se 0.500 0.500 0.500
```

***

A plane-wave DFT calculation with PBE-GGA was carried out for crystalline Np2ICl8 at its relaxed geometry.

Results
**Crystal system**: monoclinic

```
data_Np2ICl8
_space_group_name_H-M_alt 'P 1'
_space_group_IT_number 1
_cell_length_a 7.314
_cell_length_b 7.314
_cell_length_c 9.330
_cell_angle_alpha 93.55
_cell_angle_beta 93.55
_cell_angle_gamma 110.26
loop_
_space_group_symop_operation_xyz
'x,y,z'
loop_
_atom_site_label
_atom_site_type_symbol
_atom_site_fract_x
_atom_site_fract_y
_atom_site_fract_z
Np1 Np 0.878 0.878 0.297
Np2 Np 0.122 0.122 0.703
I1 I 0.000 0.000 0.000
Cl1 Cl 0.911 0.323 0.705
Cl2 Cl 0.677 0.089 0.295
Cl3 Cl 0.818 0.818 0.573
Cl4 Cl 0.182 0.182 0.427
Cl5 Cl 0.323 0.911 0.705
Cl6 Cl 0.089 0.677 0.295
Cl7 Cl 0.588 0.588 0.206
Cl8 Cl 0.412 0.412 0.794
```

***

Summary of magnetization in μB/f.u.
1.43; 5.00
(order as listed above)
Summary of energy relative to the elements, uncorrected in eV per formula unit
9.08; -15.48
(order as listed above)
Summary of energy in eV/atom
-2.47; -5.24
(order as listed above)